# 1
! Pa2Be6Ni21, relaxed, DFT GGA-PBE; values from VASP
! Total energy ... -5.90 eV per atom
! Space-group type ... Fm-3m
! Fermi-level density of states ... 22.0 states/eV per cell
! Energy relative to the elements ... -0.29 eV per atom
&SYSTEM
  ibrav = 0, nat = 29, ntyp = 3
/
ATOMIC_SPECIES
Ni 58.69 Ni.upf
Be 9.01 Be.upf
Pa 231.04 Pa.upf
CELL_PARAMETERS angstrom
-6.6852 -2.9338 2.4360
-1.6339 -0.1278 7.5198
-5.4375 4.6502 2.8361
ATOMIC_POSITIONS crystal
Ni 0.6169 0.1494 0.6169
Ni 0.6592 0.0000 0.0000
Ni 0.3831 0.3831 0.3831
Ni 0.8506 0.3831 0.3831
Ni 0.0000 0.6592 0.3408
Ni 0.6592 0.3408 0.0000
Ni 0.3408 0.0000 0.0000
Ni 0.3831 0.8506 0.3831
Ni 0.0000 0.3408 0.0000
Ni 0.0000 0.6592 0.0000
Ni 0.6169 0.6169 0.6169
Ni 0.0000 0.0000 0.3408
Ni 0.6169 0.6169 0.1494
Ni 0.3408 0.6592 0.0000
Ni 0.0000 0.0000 0.6592
Ni 0.1494 0.6169 0.6169
Ni 0.3831 0.3831 0.8506
Ni 0.0000 0.3408 0.6592
Ni 0.3408 0.0000 0.6592
Ni 0.0000 0.0000 0.0000
Ni 0.6592 0.0000 0.3408
Be 0.7311 0.7311 0.2689
Be 0.7311 0.2689 0.7311
Be 0.2689 0.2689 0.7311
Be 0.2689 0.7311 0.2689
Be 0.2689 0.7311 0.7311
Be 0.7311 0.2689 0.2689
Pa 0.7500 0.7500 0.7500
Pa 0.2500 0.2500 0.2500



# 2
! Pa2BeNi3, relaxed, DFT GGA-PBE; values from VASP
! Total energy ... -7.06 eV per atom
! Space-group type ... P6_3/mmc
! Fermi-level density of states ... 12.3 states/eV per cell
! Energy relative to the elements ... -0.38 eV per atom
&SYSTEM
  ibrav = 0, nat = 12, ntyp = 3
/
ATOMIC_SPECIES
Pa 231.04 Pa.upf
Ni 58.69 Ni.upf
Be 9.01 Be.upf
CELL_PARAMETERS angstrom
5.1055 0.0000 0.0000
-2.5527 4.4215 0.0000
0.0000 0.0000 7.8045
ATOMIC_POSITIONS crystal
Pa 0.6667 0.3333 0.4364
Pa 0.6667 0.3333 0.0636
Pa 0.3333 0.6667 0.9364
Pa 0.3333 0.6667 0.5636
Ni 0.6747 0.8374 0.2500
Ni 0.8374 0.6747 0.7500
Ni 0.1626 0.8374 0.2500
Ni 0.8374 0.1626 0.7500
Ni 0.3253 0.1626 0.7500
Ni 0.1626 0.3253 0.2500
Be 0.0000 0.0000 0.0000
Be 0.0000 0.0000 0.5000



# 3
! Pa3Be2Ni7, relaxed, DFT GGA-PBE; values from VASP
! Total energy ... -6.76 eV per atom
! Space-group type ... R-3m
! Fermi-level density of states ... 12.7 states/eV per cell
! Energy relative to the elements ... -0.40 eV per atom
&SYSTEM
  ibrav = 0, nat = 12, ntyp = 3
/
ATOMIC_SPECIES
Ni 58.69 Ni.upf
Pa 231.04 Pa.upf
Be 9.01 Be.upf
CELL_PARAMETERS angstrom
4.7453 0.0000 1.4853
2.1402 4.2353 1.4853
0.0337 0.0207 8.2154
ATOMIC_POSITIONS crystal
Ni 0.4260 0.9215 0.2265
Ni 0.0785 0.5740 0.7735
Ni 0.9215 0.4260 0.2265
Ni 0.5740 0.0785 0.7735
Ni 0.5740 0.5740 0.7735
Ni 0.5000 0.5000 0.5000
Ni 0.4260 0.4260 0.2265
Pa 0.8573 0.8573 0.4280
Pa 0.0000 0.0000 0.0000
Pa 0.1427 0.1427 0.5720
Be 0.3314 0.3314 0.0058
Be 0.6686 0.6686 0.9942



# 4
! Pa2Be4NiPt3, relaxed, DFT GGA-PBE; values from VASP
! Total energy ... -6.43 eV per atom
! Space-group type ... P-4m2
! Fermi-level density of states ... 11.9 states/eV per cell
! Energy relative to the elements ... -0.65 eV per atom
&SYSTEM
  ibrav = 0, nat = 10, ntyp = 4
/
ATOMIC_SPECIES
Pa 231.04 Pa.upf
Ni 58.69 Ni.upf
Be 9.01 Be.upf
Pt 195.08 Pt.upf
CELL_PARAMETERS angstrom
-2.4046 -3.1234 -0.3606
3.0795 -2.4312 0.5235
-1.5266 0.0901 9.3992
ATOMIC_POSITIONS crystal
Pa 0.5000 0.0000 0.2513
Pa 0.0000 0.5000 0.7487
Ni 0.5000 0.5000 0.5000
Be 0.5000 0.5000 0.0000
Be 0.5000 0.0000 0.6210
Be 0.0000 0.5000 0.3790
Be 0.0000 0.0000 0.0000
Pt 0.0000 0.0000 0.5000
Pt 0.5000 0.0000 0.8673
Pt 0.0000 0.5000 0.1327



# 5
! PaBe2NiPt2, relaxed, DFT GGA-PBE; values from VASP
! Total energy ... -6.19 eV per atom
! Space-group type ... I4/mmm
! Fermi-level density of states ... 3.9 states/eV per cell
! Energy relative to the elements ... -0.39 eV per atom
&SYSTEM
  ibrav = 0, nat = 6, ntyp = 4
/
ATOMIC_SPECIES
Pt 195.08 Pt.upf
Ni 58.69 Ni.upf
Be 9.01 Be.upf
Pa 231.04 Pa.upf
CELL_PARAMETERS angstrom
-1.0374 3.5644 1.0690
-3.7169 -1.0466 -0.1172
2.6784 -3.0185 5.6836
ATOMIC_POSITIONS crystal
Pt 0.7500 0.2500 0.5000
Pt 0.2500 0.7500 0.5000
Ni 0.0000 0.0000 0.0000
Be 0.8379 0.8379 0.6757
Be 0.1621 0.1621 0.3243
Pa 0.5000 0.5000 0.0000



# 6
! Pa2BeSi3Ni4, relaxed, DFT GGA-PBE; values from VASP
! Total energy ... -6.92 eV per atom
! Space-group type ... P-4m2
! Formation energy without anion corrections ... -68.11 kJ/mol of atoms
! Fermi-level density of states ... 7.9 states/eV per cell
&SYSTEM
  ibrav = 0, nat = 10, ntyp = 4
/
ATOMIC_SPECIES
Ni 58.69 Ni.upf
Si 28.09 Si.upf
Pa 231.04 Pa.upf
Be 9.01 Be.upf
CELL_PARAMETERS angstrom
-3.7126 -1.3363 -0.0671
0.9980 -2.8974 2.4864
-2.1192 5.5217 7.2850
ATOMIC_POSITIONS crystal
Ni 0.5000 0.5000 0.0000
Ni 0.5000 0.0000 0.6260
Ni 0.0000 0.5000 0.3740
Ni 0.0000 0.0000 0.0000
Si 0.0000 0.0000 0.5000
Si 0.5000 0.0000 0.8692
Si 0.0000 0.5000 0.1308
Pa 0.5000 0.0000 0.2539
Pa 0.0000 0.5000 0.7461
Be 0.5000 0.5000 0.5000



# 7
! PaBeSiNi6, relaxed, DFT GGA-PBE; values from VASP
! Total energy ... -6.11 eV per atom
! Space-group type ... Imma
! Formation energy without anion corrections ... -18.05 kJ/mol of atoms
! Fermi-level density of states ... 10.0 states/eV per cell
&SYSTEM
  ibrav = 0, nat = 18, ntyp = 4
/
ATOMIC_SPECIES
Si 28.09 Si.upf
Ni 58.69 Ni.upf
Be 9.01 Be.upf
Pa 231.04 Pa.upf
CELL_PARAMETERS angstrom
6.4023 0.0000 0.0000
0.0000 7.3340 0.0000
-3.2011 -3.6670 4.9997
ATOMIC_POSITIONS crystal
Si 0.0000 0.0000 0.5000
Si 0.5000 0.0000 0.5000
Ni 0.9910 0.7410 0.9820
Ni 0.6707 0.8775 0.7593
Ni 0.5955 0.8455 0.1909
Ni 0.0886 0.3818 0.7593
Ni 0.4045 0.1545 0.8091
Ni 0.0090 0.2590 0.0180
Ni 0.9114 0.1225 0.2407
Ni 0.3293 0.6182 0.2407
Ni 0.3293 0.1225 0.2407
Ni 0.6707 0.3818 0.7593
Ni 0.9114 0.6182 0.2407
Ni 0.0886 0.8775 0.7593
Be 0.5000 0.0000 0.0000
Be 0.5000 0.5000 0.0000
Pa 0.2824 0.5324 0.5648
Pa 0.7176 0.4676 0.4352



# 8
! PaBe2SiNi4, relaxed, DFT GGA-PBE; values from VASP
! Total energy ... -6.10 eV per atom
! Space-group type ... R-3m
! Formation energy without anion corrections ... -40.05 kJ/mol of atoms
! Fermi-level density of states ... 6.2 states/eV per cell
&SYSTEM
  ibrav = 0, nat = 8, ntyp = 4
/
ATOMIC_SPECIES
Be 9.01 Be.upf
Ni 58.69 Ni.upf
Si 28.09 Si.upf
Pa 231.04 Pa.upf
CELL_PARAMETERS angstrom
3.7943 0.0000 0.0000
1.8971 3.2859 0.0000
1.8971 1.0953 7.9493
ATOMIC_POSITIONS crystal
Be 0.7672 0.7672 0.6983
Be 0.2328 0.2328 0.3017
Ni 0.5968 0.5968 0.2097
Ni 0.4032 0.4032 0.7903
Ni 0.8682 0.8682 0.3954
Ni 0.1318 0.1318 0.6046
Si 0.5000 0.5000 0.5000
Pa 0.0000 0.0000 0.0000



# 9
! PaBeSi2Ni, relaxed, DFT GGA-PBE; values from VASP
! Total energy ... -6.56 eV per atom
! Space-group type ... I-4m2
! Formation energy without anion corrections ... -57.23 kJ/mol of atoms
! Fermi-level density of states ... 3.9 states/eV per cell
&SYSTEM
  ibrav = 0, nat = 5, ntyp = 4
/
ATOMIC_SPECIES
Si 28.09 Si.upf
Ni 58.69 Ni.upf
Be 9.01 Be.upf
Pa 231.04 Pa.upf
CELL_PARAMETERS angstrom
3.9239 0.0000 0.0000
0.0000 3.9239 0.0000
-1.9620 -1.9620 4.7764
ATOMIC_POSITIONS crystal
Si 0.3762 0.3762 0.7524
Si 0.6238 0.6238 0.2476
Ni 0.2500 0.7500 0.5000
Be 0.7500 0.2500 0.5000
Pa 0.0000 0.0000 0.0000



# 10
! Pa2BeZnNi6, relaxed, DFT GGA-PBE; values from VASP
! Total energy ... -6.10 eV per atom
! Space-group type ... R-3m
! Fermi-level density of states ... 18.3 states/eV per cell
! Energy relative to the elements ... -0.23 eV per atom
&SYSTEM
  ibrav = 0, nat = 20, ntyp = 4
/
ATOMIC_SPECIES
Pa 231.04 Pa.upf
Ni 58.69 Ni.upf
Be 9.01 Be.upf
Zn 65.41 Zn.upf
CELL_PARAMETERS angstrom
-5.3748 -0.4348 2.0991
-1.0272 -3.2576 4.6708
-0.4822 6.6540 8.1192
ATOMIC_POSITIONS crystal
Pa 0.1121 0.1121 0.6637
Pa 0.7174 0.7174 0.8479
Pa 0.2826 0.2826 0.1521
Pa 0.8879 0.8879 0.3363
Ni 0.3309 0.3309 0.4139
Ni 0.2166 0.6575 0.9093
Ni 0.3425 0.7834 0.0907
Ni 0.7834 0.3425 0.0907
Ni 0.7834 0.7834 0.0907
Ni 0.0757 0.6691 0.5861
Ni 0.6691 0.6691 0.5861
Ni 0.3309 0.9243 0.4139
Ni 0.6691 0.0757 0.5861
Ni 0.2166 0.2166 0.9093
Ni 0.9243 0.3309 0.4139
Ni 0.6575 0.2166 0.9093
Be 0.0000 0.0000 0.0000
Be 0.5000 0.5000 0.5000
Zn 0.5744 0.5744 0.2767
Zn 0.4256 0.4256 0.7233



# 11
! Be2NiPb, relaxed, DFT GGA-PBE; values from VASP
! Total energy ... -3.79 eV per atom
! Space-group type ... I4/mmm
! Fermi-level density of states ... 2.0 states/eV per cell
! Energy relative to the elements ... 0.45 eV per atom
&SYSTEM
  ibrav = 0, nat = 4, ntyp = 3
/
ATOMIC_SPECIES
Be 9.01 Be.upf
Pb 207.20 Pb.upf
Ni 58.69 Ni.upf
CELL_PARAMETERS angstrom
4.6166 0.0171 -0.0299
1.4818 4.3724 0.0299
-3.0332 -2.2170 2.6831
ATOMIC_POSITIONS crystal
Be 0.0002 0.0002 0.0000
Be 0.4998 0.4998 0.0000
Pb 0.2500 0.7500 0.5000
Ni 0.7500 0.2500 0.5000



# 12
! BeNiPb2, relaxed, DFT GGA-PBE; values from VASP
! Total energy ... -3.43 eV per atom
! Space-group type ... F-43m
! Fermi-level density of states ... 3.8 states/eV per cell
! Energy relative to the elements ... 0.80 eV per atom
&SYSTEM
  ibrav = 0, nat = 4, ntyp = 3
/
ATOMIC_SPECIES
Ni 58.69 Ni.upf
Pb 207.20 Pb.upf
Be 9.01 Be.upf
CELL_PARAMETERS angstrom
4.9075 0.0000 0.0000
2.4538 4.2500 0.0000
2.4538 1.4167 4.0070
ATOMIC_POSITIONS crystal
Ni 0.2500 0.2500 0.2500
Pb 0.7500 0.7500 0.7500
Pb 0.0000 0.0000 0.0000
Be 0.5000 0.5000 0.5000



Question: Which of these has the lowest Fermi-level density of states?
Answer: Be2NiPb



Please write out number 9 again, unchanged.
! PaBeSi2Ni, relaxed, DFT GGA-PBE; values from VASP
! Total energy ... -6.56 eV per atom
! Space-group type ... I-4m2
! Formation energy without anion corrections ... -57.23 kJ/mol of atoms
! Fermi-level density of states ... 3.9 states/eV per cell
&SYSTEM
  ibrav = 0, nat = 5, ntyp = 4
/
ATOMIC_SPECIES
Si 28.09 Si.upf
Ni 58.69 Ni.upf
Be 9.01 Be.upf
Pa 231.04 Pa.upf
CELL_PARAMETERS angstrom
3.9239 0.0000 0.0000
0.0000 3.9239 0.0000
-1.9620 -1.9620 4.7764
ATOMIC_POSITIONS crystal
Si 0.3762 0.3762 0.7524
Si 0.6238 0.6238 0.2476
Ni 0.2500 0.7500 0.5000
Be 0.7500 0.2500 0.5000
Pa 0.0000 0.0000 0.0000



Question: Which value of Fermi-level density of states does entry 11 give?
Answer: 2.0 states/eV per cell